FeCoAgO2 | PBE+U | relaxed

```
5
Lattice="-1.850 -2.584 -2.531 0.152 -2.896 2.846 -4.307 1.431 1.686" Properties=species:S:1:pos:R:3 pbc="T T T"
O 0.076 -1.448 1.423
O -0.925 -1.292 -1.265
Co -3.002 -2.024 1.000
Fe -2.153 0.716 0.843
Ag 0.000 0.000 0.000
```

- VASP energy: -3.73 eV per atom
- Crystal system: tetragonal
- M_tot: 5.7 μB/f.u.
- Mass density: 5.292 g/cm³